<P>
Crystalline Li2Bi at its relaxed geometry. Source: Alexandria, functional GGA-PBE.

POSCAR file:
```
Li2Bi
1.0
-2.4269 -1.6361 4.8404
-0.8318 -5.4996 1.0291
3.0700 -2.6334 3.9543
Li Bi
4 2
Direct
0.6250 0.6250 0.6250
0.1250 0.6250 0.6250
0.6250 0.6250 0.1250
0.6250 0.1250 0.6250
0.0000 0.0000 0.0000
0.2500 0.2500 0.2500
```

Summary:
M_tot   0.0 μB/f.u.



<Q>
Crystalline Li2Bi at its relaxed geometry. Source: Alexandria, functional GGA-PBE.

POSCAR file:
```
Li2Bi
1.0
-2.2426 2.1280 1.4944
2.4207 0.0699 3.5329
2.2707 4.4981 0.9507
Li Bi
2 1
Direct
0.6617 0.6633 0.6740
0.3383 0.3367 0.3260
0.0000 0.0000 0.0000
```

Summary:
M_tot   0.0 μB/f.u.



Relative to the most stable one, in meV per atom, the structures come out at <P> 286; <Q> 0.



<P>
Crystalline Li3Bi5 at its relaxed geometry. Source: Alexandria, functional GGA-PBE.

POSCAR file:
```
Li3Bi5
1.0
3.4427 0.0000 0.0000
0.0000 3.4427 0.0000
0.0000 0.0000 17.3950
Bi Li
5 3
Direct
0.0000 0.0000 0.0000
0.0000 0.0000 0.2211
0.5000 0.5000 0.6052
0.0000 0.0000 0.7789
0.5000 0.5000 0.3948
0.5000 0.5000 0.1113
0.5000 0.5000 0.8887
0.0000 0.0000 0.5000
```

Summary:
M_tot   0.0 μB/f.u.



<Q>
Crystalline Li3Bi5 at its relaxed geometry. Source: Alexandria, functional GGA-PBE.

POSCAR file:
```
Li3Bi5
1.0
4.7961 0.0000 0.0000
0.0000 6.6587 -0.8566
0.0000 -0.0127 6.7132
Li Bi
3 5
Direct
0.5000 0.7581 0.2427
0.0000 0.5000 0.5000
0.5000 0.2419 0.7573
0.5000 0.2751 0.2748
0.0000 0.5000 0.0000
0.5000 0.7249 0.7252
0.0000 0.0000 0.0000
0.0000 0.0000 0.5000
```

Summary:
M_tot   0.0 μB/f.u.



Relative to the most stable one, in meV per atom, the structures come out at <P> 0; <Q> 6.



<P>
Crystalline LiLuBi at its relaxed geometry. Source: Alexandria, functional GGA-PBE.

POSCAR file:
```
LiLuBi
1.0
-1.8859 1.8667 2.6605
1.3799 -2.3251 2.6094
4.4398 3.4827 -1.9500
Bi Lu Li
1 1 1
Direct
0.3041 0.3041 0.6081
0.6169 0.6169 0.2339
0.9290 0.9290 0.8580
```

Summary:
M_tot   0.0 μB/f.u.



<Q>
Crystalline LiLuBi at its relaxed geometry. Source: Alexandria, functional GGA-PBE.

POSCAR file:
```
LiLuBi
1.0
-1.8053 -2.7867 -2.4190
-2.5024 -1.3745 3.4511
-1.4771 3.2767 -2.6726
Li Lu Bi
1 1 1
Direct
0.8337 0.0000 0.0000
0.3332 0.3333 0.6667
0.8331 0.6667 0.3333
```

Summary:
M_tot   0.0 μB/f.u.



Relative to the most stable one, in meV per atom, the structures come out at <P> 212; <Q> 0.



<P>
Crystalline LiMgBi3 at its relaxed geometry. Source: Alexandria, functional GGA-PBE.

POSCAR file:
```
LiMgBi3
1.0
5.5769 0.0000 0.0000
0.0000 5.5769 0.0000
0.0000 0.0000 5.5769
Bi Mg Li
3 1 1
Direct
0.0000 0.0000 0.5000
0.0000 0.5000 0.0000
0.5000 0.0000 0.0000
0.0000 0.0000 0.0000
0.5000 0.5000 0.5000
```

Summary:
M_tot   0.0 μB/f.u.



<Q>
Crystalline LiMgBi3 at its relaxed geometry. Source: Alexandria, functional GGA-PBE.

POSCAR file:
```
LiMgBi3
1.0
5.2407 0.0000 0.0000
0.0000 5.2407 0.0000
0.0000 0.0000 5.2407
Bi Li Mg
3 1 1
Direct
0.0000 0.0000 0.5000
0.5000 0.0000 0.0000
0.0000 0.5000 0.0000
0.0000 0.0000 0.0000
0.5000 0.5000 0.5000
```

Summary:
M_tot   0.0 μB/f.u.



Relative to the most stable one, in meV per atom, the structures come out at <P> 121; <Q> 0.



<P>
Crystalline LiMg2Bi2 at its relaxed geometry. Source: Alexandria, functional GGA-PBE.

POSCAR file:
```
LiMg2Bi2
1.0
-1.8350 -4.5721 7.0572
-5.3758 -4.9165 -4.5831
2.7340 -2.2770 -0.7643
Bi Li Mg
4 2 4
Direct
0.1738 0.6738 0.5000
0.6738 0.8262 0.5000
0.8262 0.3262 0.5000
0.3262 0.1738 0.5000
0.5000 0.5000 0.0000
0.0000 0.0000 0.0000
0.1264 0.3736 0.0000
0.8736 0.6264 0.0000
0.6264 0.1264 0.0000
0.3736 0.8736 0.0000
```

Summary:
M_tot   0.0 μB/f.u.



<Q>
Crystalline LiMg2Bi2 at its relaxed geometry. Source: Alexandria, functional GGA-PBE.

POSCAR file:
```
LiMg2Bi2
1.0
4.8092 0.0000 0.0000
0.0000 6.9269 -1.6142
0.0000 -3.2337 9.4175
Li Mg Bi
2 4 4
Direct
0.2500 0.8731 0.3124
0.7500 0.1269 0.6876
0.7500 0.2485 0.0772
0.2500 0.7515 0.9228
0.7500 0.2796 0.4237
0.2500 0.7204 0.5763
0.7500 0.8468 0.1174
0.2500 0.3256 0.6150
0.7500 0.6744 0.3850
0.2500 0.1532 0.8826
```

Summary:
M_tot   0.0 μB/f.u.



Relative to the most stable one, in meV per atom, the structures come out at <P> 99; <Q> 0.



<P>
Crystalline LiMg2Bi2 at its relaxed geometry. Source: Alexandria, functional GGA-PBE.

POSCAR file:
```
LiMg2Bi2
1.0
5.8939 0.0000 0.0000
0.0000 7.8960 0.0000
-2.9470 -3.9480 5.8188
Mg Li Bi
4 2 4
Direct
0.1188 0.2466 0.2377
0.3812 0.0089 0.7623
0.8812 0.7534 0.7623
0.6188 0.9911 0.2377
0.7500 0.5000 0.0000
0.2500 0.5000 0.0000
0.3665 0.6176 0.7330
0.6335 0.3824 0.2670
0.1335 0.8846 0.2670
0.8665 0.1154 0.7330
```

Summary:
M_tot   0.0 μB/f.u.



<Q>
Crystalline LiMg2Bi2 at its relaxed geometry. Source: Alexandria, functional GGA-PBE.

POSCAR file:
```
LiMg2Bi2
1.0
8.6032 0.0000 0.0000
0.0000 8.6032 0.0000
0.0000 0.0000 3.6696
Bi Mg Li
4 4 2
Direct
0.6697 0.1697 0.0000
0.1697 0.3303 0.0000
0.8303 0.6697 0.0000
0.3303 0.8303 0.0000
0.3702 0.1298 0.5000
0.1298 0.6298 0.5000
0.6298 0.8702 0.5000
0.8702 0.3702 0.5000
0.0000 0.0000 0.0000
0.5000 0.5000 0.0000
```

Summary:
M_tot   0.0 μB/f.u.



<R>
Crystalline LiMg2Bi2 at its relaxed geometry. Source: Alexandria, functional GGA-PBE.

POSCAR file:
```
LiMg2Bi2
1.0
4.8492 0.0000 0.0000
0.0000 4.8492 0.0000
2.4246 2.4246 6.6712
Mg Bi Li
2 2 1
Direct
0.3925 0.3925 0.2150
0.6075 0.6075 0.7850
0.7500 0.2500 0.5000
0.2500 0.7500 0.5000
0.0000 0.0000 0.0000
```

Summary:
M_tot   0.0 μB/f.u.



Relative to the most stable one, in meV per atom, the structures come out at <P> 0; <Q> 70; <R> 246.